{"formula": "ScPtRh3", "functional": "PBE", "state": "relaxed", "n_ef_per_ev_atom": 1.204, "relative_energy_mev_per_atom": 0, "formation_energy_ev_per_atom": -0.478, "lattice_angstrom": [[-3.4522, 1.9460, -0.0190], [0.8502, 1.4566, -5.2822], [-2.2032, -7.9242, 1.9757]], "species": ["Sc", "Sc", "Pt", "Pt", "Rh", "Rh", "Rh", "Rh", "Rh", "Rh"], "fractional_positions": [[0.6084, 0.6661, 0.2168], [0.3916, 0.3339, 0.7832], [0.8019, 0.4477, 0.6038], [0.1981, 0.5523, 0.3962], [0.0004, 0.2430, 0.0008], [0.9996, 0.7570, 0.9992], [0.4008, 0.8539, 0.8016], [0.5992, 0.1461, 0.1984], [0.1968, 0.0576, 0.3936], [0.8032, 0.9424, 0.6064]]}



{"formula": "ScPtRh2", "functional": "PBE", "state": "relaxed", "n_ef_per_ev_atom": 1.564, "formation_energy_ev_per_atom": -0.488, "lattice_angstrom": [[-1.0948, -3.5558, -2.5176], [3.1946, -2.2575, -2.2087], [1.1553, -4.1332, 1.3274]], "species": ["Pt", "Rh", "Rh", "Sc"], "fractional_positions": [[0.5000, 0.5000, 0.5000], [0.0000, 0.0000, 0.0000], [0.2500, 0.2500, 0.2500], [0.7500, 0.7500, 0.7500]]}